DFT (PBE) results for crystalline AsPtPbO at its relaxed geometry.

For the total magnetization, the calculation gives 0.01 μB per cell. The total energy comes out at -21.87 eV per formula unit. The energy relative to the lowest polymorph listed for this composition is 0.000 eV/atom.

It has space group P4/nmm (No. 129, origin choice 2), with a = 4.094 Å, b = 4.094 Å, c = 9.943 Å, α = 90.00°, β = 90.00° and γ = 90.00°. The asymmetric unit holds As at (0.250, 0.250, 0.145), Pt at (0.250, 0.750, 0.000), Pb at (0.250, 0.250, 0.618) and O at (0.250, 0.750, 0.500).